No. 1
First-principles (PBE) data for crystalline ScHgHAu2 at its relaxed geometry, as listed in the Alexandria database.

The structure belongs to space group P4/mmm (No. 123); the cell edges are 4.624, 4.624 and 3.883 Å and the angles 90.00°, 90.00° and 90.00°. Symmetry generates all atoms from Sc at (0.000, 0.000, 0.000), Hg at (0.500, 0.500, 0.000), H at (0.000, 0.000, 0.500) and Au at (0.000, 0.500, 0.500).

The total energy comes out at -0.2585 Ry/atom. The volume comes out at 16.6 A^3/atom.

No. 2
First-principles (PBE) data for crystalline HgHAu2Se at its relaxed geometry, as listed in the Alexandria database.

The structure belongs to space group P4/mmm (No. 123); the cell edges are 5.368, 5.368 and 3.492 Å and the angles 90.00°, 90.00° and 90.00°. Symmetry generates all atoms from Hg at (0.000, 0.000, 0.000), H at (0.000, 0.000, 0.500), Au at (0.000, 0.500, 0.000) and Se at (0.500, 0.500, 0.500).

The total energy comes out at -0.1590 Ry/atom. The volume comes out at 20.1 A^3/atom.

No. 3
First-principles (PBE) data for crystalline SnHgHAu2 at its relaxed geometry, as listed in the Alexandria database.

The structure belongs to space group P4/mmm (No. 123); the cell edges are 4.067, 4.067 and 5.745 Å and the angles 90.00°, 90.00° and 90.00°. Symmetry generates all atoms from Sn at (0.000, 0.000, 0.000), Hg at (0.500, 0.500, 0.000), H at (0.500, 0.500, 0.500) and Au at (0.000, 0.500, 0.500).

The total energy comes out at -0.1933 Ry/atom. The volume comes out at 19.0 A^3/atom.

No. 4
First-principles (PBE) data for crystalline HgTeHAu2 at its relaxed geometry, as listed in the Alexandria database.

The structure belongs to space group P4/mmm (No. 123); the cell edges are 3.986, 3.986 and 7.196 Å and the angles 90.00°, 90.00° and 90.00°. Symmetry generates all atoms from Hg at (0.000, 0.000, 0.000), Te at (0.500, 0.500, 0.000), H at (0.500, 0.500, 0.500) and Au at (0.000, 0.500, 0.500).

The total energy comes out at -0.1774 Ry/atom. The volume comes out at 22.9 A^3/atom.

No. 5
First-principles (PBE) data for crystalline Ti2HgHAu at its relaxed geometry, as listed in the Alexandria database.

The structure belongs to space group P4/mmm (No. 123); the cell edges are 4.168, 4.168 and 4.200 Å and the angles 90.00°, 90.00° and 90.00°. Symmetry generates all atoms from Ti at (0.000, 0.500, 0.000), Hg at (0.000, 0.000, 0.500), H at (0.500, 0.500, 0.000) and Au at (0.500, 0.500, 0.500).

The total energy comes out at -0.3460 Ry/atom. The volume comes out at 14.6 A^3/atom. As for the energy above the most stable polymorph in this dataset: 0.000 eV per atom.

No. 6
First-principles (PBE) data for crystalline Ti2HgHAu at its relaxed geometry, as listed in the Alexandria database.

The structure belongs to space group P4/mmm (No. 123); the cell edges are 4.096, 4.096 and 4.360 Å and the angles 90.00°, 90.00° and 90.00°. Symmetry generates all atoms from Ti at (0.000, 0.500, 0.000), Hg at (0.000, 0.000, 0.500), H at (0.000, 0.000, 0.000) and Au at (0.500, 0.500, 0.500).

The total energy comes out at -0.3430 Ry/atom. The volume comes out at 14.6 A^3/atom. As for the energy above the most stable polymorph in this dataset: 0.041 eV per atom.

No. 7
First-principles (PBE) data for crystalline TlHg2HAu at its relaxed geometry, as listed in the Alexandria database.

The structure belongs to space group P4/mmm (No. 123); the cell edges are 5.642, 5.642 and 3.514 Å and the angles 90.00°, 90.00° and 90.00°. Symmetry generates all atoms from Tl at (0.000, 0.000, 0.000), Hg at (0.000, 0.500, 0.500), H at (0.500, 0.500, 0.500) and Au at (0.500, 0.500, 0.000).

The total energy comes out at -0.1309 Ry/atom. The volume comes out at 22.4 A^3/atom. As for the energy above the most stable polymorph in this dataset: 0.060 eV per atom.

No. 8
First-principles (PBE) data for crystalline TlHgHAu2 at its relaxed geometry, as listed in the Alexandria database.

The structure belongs to space group P4/mmm (No. 123); the cell edges are 4.122, 4.122 and 5.770 Å and the angles 90.00°, 90.00° and 90.00°. Symmetry generates all atoms from Tl at (0.000, 0.000, 0.000), Hg at (0.500, 0.500, 0.000), H at (0.500, 0.500, 0.500) and Au at (0.000, 0.500, 0.500).

The total energy comes out at -0.1684 Ry/atom. The volume comes out at 19.6 A^3/atom. As for the energy above the most stable polymorph in this dataset: 0.000 eV per atom.

No. 9
First-principles (PBE) data for crystalline TlHg2HAu at its relaxed geometry, as listed in the Alexandria database.

The structure belongs to space group P4/mmm (No. 123); the cell edges are 5.675, 5.675 and 3.570 Å and the angles 90.00°, 90.00° and 90.00°. Symmetry generates all atoms from Tl at (0.000, 0.000, 0.000), Hg at (0.000, 0.500, 0.500), H at (0.500, 0.500, 0.000) and Au at (0.500, 0.500, 0.500).

The total energy comes out at -0.1354 Ry/atom. The volume comes out at 23.0 A^3/atom. As for the energy above the most stable polymorph in this dataset: 0.000 eV per atom.

No. 10
First-principles (PBE) data for crystalline YHgHAu2 at its relaxed geometry, as listed in the Alexandria database.

The structure belongs to space group P4/mmm (No. 123); the cell edges are 4.673, 4.673 and 4.187 Å and the angles 90.00°, 90.00° and 90.00°. Symmetry generates all atoms from Y at (0.000, 0.000, 0.000), Hg at (0.500, 0.500, 0.000), H at (0.000, 0.000, 0.500) and Au at (0.000, 0.500, 0.500).

The total energy comes out at -0.2647 Ry/atom. The volume comes out at 18.3 A^3/atom. As for the energy above the most stable polymorph in this dataset: 0.000 eV per atom.

No. 11
First-principles (PBE) data for crystalline YHgHAu2 at its relaxed geometry, as listed in the Alexandria database.

The structure belongs to space group P4/mmm (No. 123); the cell edges are 5.586, 5.586 and 6.145 Å and the angles 90.00°, 90.00° and 90.00°. Symmetry generates all atoms from Y at (0.000, 0.000, 0.000), Hg at (0.000, 0.000, 0.500), H at (0.500, 0.500, 0.500) and Au at (0.000, 0.500, 0.000).

The total energy comes out at -0.1929 Ry/atom. The volume comes out at 38.4 A^3/atom. As for the energy above the most stable polymorph in this dataset: 0.977 eV per atom.

No. 12
First-principles (PBE) data for crystalline Ho4HAu2 at its relaxed geometry, as listed in the Alexandria database.

The structure belongs to space group I4/mmm (No. 139); the cell edges are 4.668, 4.668 and 14.755 Å and the angles 90.00°, 90.00° and 90.00°. Symmetry generates all atoms from Ho at (0.000, 0.000, 0.184), Ho at (0.000, 0.500, 0.000), H at (0.000, 0.000, 0.000) and Au at (0.000, 0.000, 0.373).

The total energy comes out at -0.3363 Ry/atom. The volume comes out at 23.0 A^3/atom.

No. 13
First-principles (PBE) data for crystalline HoHAu at its relaxed geometry, as listed in the Alexandria database.

The structure belongs to space group P4/nmm (No. 129, origin choice 2); the cell edges are 3.710, 3.710 and 6.988 Å and the angles 90.00°, 90.00° and 90.00°. Symmetry generates all atoms from Ho at (0.250, 0.250, 0.177), H at (0.250, 0.750, 0.000) and Au at (0.250, 0.250, 0.613).

The total energy comes out at -0.3329 Ry/atom. The volume comes out at 16.0 A^3/atom. As for the energy above the most stable polymorph in this dataset: 0.000 eV per atom.

No. 14
First-principles (PBE) data for crystalline HoHAu at its relaxed geometry, as listed in the Alexandria database.

The structure belongs to space group I4mm (No. 107); the cell edges are 3.474, 3.474 and 9.043 Å and the angles 90.00°, 90.00° and 90.00°. Symmetry generates all atoms from Ho at (0.000, 0.000, 0.000), H at (0.000, 0.000, 0.462) and Au at (0.000, 0.000, 0.686).

The total energy comes out at -0.3001 Ry/atom. The volume comes out at 18.2 A^3/atom. As for the energy above the most stable polymorph in this dataset: 0.446 eV per atom.

No. 15
First-principles (PBE) data for crystalline HoHAu at its relaxed geometry, as listed in the Alexandria database.

The structure belongs to space group P6_3mc (No. 186); the cell edges are 8.0330, 8.0330 and 7.1700 Å and the angles 90.00°, 90.00° and 120.00°. Symmetry generates all atoms from Ho at (0.1706, 0.3412, 0.0000), Ho at (0.3333, 0.6667, 0.3675), H at (0.1665, 0.3331, 0.3361), H at (0.3333, 0.6667, 0.0659), Au at (0.0000, 0.0000, 0.2383) and Au at (0.0843, 0.5422, 0.6966).

The total energy comes out at -0.3159 Ry/atom. The volume comes out at 16.7 A^3/atom. As for the energy above the most stable polymorph in this dataset: 0.231 eV per atom.

No. 16
First-principles (PBE) data for crystalline Ho12H5Au3 at its relaxed geometry, as listed in the Alexandria database.

The structure belongs to space group Ia-3d (No. 230); the cell edges are 15.219, 15.219 and 15.219 Å and the angles 90.00°, 90.00° and 90.00°. Symmetry generates all atoms from Ho at (0.040, 0.057, 0.653), H at (0.000, 0.000, 0.000), H at (0.000, 0.250, 0.375) and Au at (0.000, 0.250, 0.125).

The total energy comes out at -0.3296 Ry/atom. The volume comes out at 22.0 A^3/atom.

No. 17
First-principles (PBE) data for crystalline HoH8Ir2Au at its relaxed geometry, as listed in the Alexandria database.

The structure belongs to space group C2/m (No. 12); the cell edges are 8.794, 4.176 and 6.044 Å and the angles 90.00°, 109.23° and 90.00°. Symmetry generates all atoms from Ho at (0.000, 0.000, 0.000), H at (0.085, 0.500, 0.126), H at (0.186, 0.258, 0.840), H at (0.214, 0.000, 0.378), Ir at (0.232, 0.000, 0.672) and Au at (0.000, 0.500, 0.500).

The total energy comes out at -0.3275 Ry/atom. The volume comes out at 8.7 A^3/atom.

No. 18
First-principles (PBE) data for crystalline Ho2HPd6Au at its relaxed geometry, as listed in the Alexandria database.

The structure belongs to space group C2/m (No. 12); the cell edges are 9.471, 5.730 and 6.991 Å and the angles 90.00°, 114.70° and 90.00°. Symmetry generates all atoms from Ho at (0.240, 0.000, 0.309), H at (0.000, 0.500, 0.000), Pd at (0.078, 0.244, 0.866), Pd at (0.200, 0.500, 0.240) and Au at (0.000, 0.000, 0.500).

The total energy comes out at -0.3897 Ry/atom. The volume comes out at 17.2 A^3/atom.

No. 19
First-principles (PBE) data for crystalline H2AuI2 at its relaxed geometry, as listed in the Alexandria database.

The structure belongs to space group I4/mmm (No. 139); the cell edges are 3.794, 3.794 and 12.820 Å and the angles 90.00°, 90.00° and 90.00°. Symmetry generates all atoms from H at (0.000, 0.500, 0.250), Au at (0.000, 0.000, 0.000) and I at (0.000, 0.000, 0.356).

The total energy comes out at -0.1385 Ry/atom. The volume comes out at 18.5 A^3/atom. As for the energy above the most stable polymorph in this dataset: 0.386 eV per atom.

No. 20
First-principles (PBE) data for crystalline H2Au5I12 at its relaxed geometry, as listed in the Alexandria database.

The structure belongs to space group C2/m (No. 12); the cell edges are 9.117, 13.328 and 14.585 Å and the angles 90.00°, 102.38° and 90.00°. Symmetry generates all atoms from H at (0.000, 0.195, 0.000), Au at (0.000, 0.500, 0.500), Au at (0.003, 0.000, 0.144), Au at (0.018, 0.000, 0.367), I at (0.002, 0.194, 0.133), I at (0.018, 0.198, 0.379), I at (0.179, 0.500, 0.668) and I at (0.216, 0.500, 0.385).

The total energy comes out at -0.1591 Ry/atom. The volume comes out at 45.6 A^3/atom.